Record 1
LiZnFe: optimized geometry, GGA-PBEsol.

**Energy of formation**: 2.04 eV/f.u.
**Spin magnetization**: 0.82 μB per atom
**SG**: F-43m, No. 216
**Final energy**: -3.490 eV/atom

a = 4.0562 Å, b = 4.0562 Å, c = 4.0562 Å
α = 60.00°, β = 60.00°, γ = 60.00°
Last column: magnetic moment on the atom in μB.
Element x y z (fractional)
Fe1 0.2500 0.2500 0.2500  2.60
Li1 0.0000 0.0000 0.0000  -0.01
Zn1 0.5000 0.5000 0.5000  -0.07



Record 2
Mg2Tc: optimized geometry, GGA-PBEsol.

**Energy of formation**: 0.93 eV/f.u.
**Spin magnetization**: 0.00 μB per atom
**SG**: I4/mmm, No. 139
**Final energy**: -4.592 eV/atom

a = 2.7456 Å, b = 2.7456 Å, c = 7.1196 Å
α = 101.12°, β = 101.12°, γ = 90.00°
Element x y z (fractional)
Mg1 0.6537 0.6537 0.3074
Mg2 0.3463 0.3463 0.6926
Tc1 0.0000 0.0000 0.0000



Record 3
Sc3Be: optimized geometry, GGA-PBEsol.

**Energy of formation**: 0.03 eV/f.u.
**Spin magnetization**: 0.00 μB per atom
**SG**: P4/mmm, No. 123
**Final energy**: -5.946 eV/atom

a = 3.1611 Å, b = 3.1611 Å, c = 7.8781 Å
α = 90.00°, β = 90.00°, γ = 90.00°
Element x y z (fractional)
Sc1 0.5000 0.5000 0.8049
Sc2 0.0000 0.0000 0.5000
Sc3 0.5000 0.5000 0.1951
Be1 0.0000 0.0000 0.0000



Record 4
BSb2TeIr: optimized geometry, GGA-PBEsol.

**Raw formation energy**: 471 kJ/mol of formula units
**Spin magnetization**: 0.00 μB per atom
**SG**: P4/mmm, No. 123
**Final energy**: -4.919 eV/atom

a = 4.5723 Å, b = 4.5723 Å, c = 4.6198 Å
α = 90.00°, β = 90.00°, γ = 90.00°
Element x y z (fractional)
Sb1 0.0000 0.5000 0.0000
Sb2 0.5000 0.0000 0.0000
B1 0.0000 0.0000 0.0000
Ir1 0.5000 0.5000 0.5000
Te1 0.0000 0.0000 0.5000



Record 5
Tl: optimized geometry, GGA-PBEsol.

**Energy of formation**: 0.01 eV/f.u.
**Spin magnetization**: 0.00 μB per atom
**SG**: Im-3m, No. 229
**Final energy**: -2.625 eV/atom

a = 3.3214 Å, b = 3.3214 Å, c = 3.3214 Å
α = 109.47°, β = 109.47°, γ = 109.47°
Element x y z (fractional)
Tl1 0.0000 0.0000 0.0000



Record 6
MgTa2Ag: optimized geometry, GGA-PBEsol.

**Energy of formation**: 0.99 eV/f.u.
**Spin magnetization**: 0.00 μB per atom
**SG**: Pmmm, No. 47
**Final energy**: -7.284 eV/atom

a = 3.1971 Å, b = 4.3782 Å, c = 4.9958 Å
α = 90.00°, β = 90.00°, γ = 90.00°
Element x y z (fractional)
Ag1 0.5000 0.0000 0.5000
Mg1 0.0000 0.5000 0.5000
Ta1 0.0000 0.0000 0.0000
Ta2 0.5000 0.5000 0.0000



Record 7
NiHgW2: optimized geometry, GGA-PBEsol.

**Energy of formation**: 2.10 eV/f.u.
**Spin magnetization**: 0.00 μB per atom
**SG**: R-3m, No. 166
**Final energy**: -8.060 eV/atom

a = 2.7775 Å, b = 2.7775 Å, c = 9.3839 Å
α = 81.49°, β = 81.49°, γ = 60.00°
Element x y z (fractional)
Hg1 0.5000 0.5000 0.5000
Ni1 0.0000 0.0000 0.0000
W1 0.2584 0.2584 0.2247
W2 0.7416 0.7416 0.7753



Record 8
Tl2SbAu2: optimized geometry, GGA-PBEsol.

**Raw formation energy**: 14 kJ/mol of formula units
**Spin magnetization**: 0.00 μB per atom
**SG**: P4/mbm, No. 127
**Final energy**: -3.503 eV/atom

a = 4.3166 Å, b = 7.3968 Å, c = 7.3968 Å
α = 90.00°, β = 90.00°, γ = 90.00°
Element x y z (fractional)
Sb1 0.0000 0.0000 0.0000
Sb2 0.0000 0.5000 0.5000
Tl1 0.5000 0.1665 0.6665
Tl2 0.5000 0.6665 0.8335
Tl3 0.5000 0.8335 0.3335
Tl4 0.5000 0.3335 0.1665
Au1 0.0000 0.3645 0.8645
Au2 0.0000 0.8645 0.6355
Au3 0.0000 0.6355 0.1355
Au4 0.0000 0.1355 0.3645



Record 9
Y2PSe: optimized geometry, GGA-PBEsol.

**Raw formation energy**: -717 kJ/mol of formula units
**Spin magnetization**: 0.00 μB per atom
**SG**: R-3m, No. 166
**Final energy**: -7.679 eV/atom

a = 3.9748 Å, b = 3.9748 Å, c = 6.9842 Å
α = 73.47°, β = 73.47°, γ = 60.00°
Element x y z (fractional)
Y1 0.2434 0.2434 0.2699
Y2 0.7566 0.7566 0.7301
P1 0.5000 0.5000 0.5000
Se1 0.0000 0.0000 0.0000



Record 10
K2PtPb: optimized geometry, GGA-PBEsol.

**Energy of formation**: -0.15 eV/f.u.
**Spin magnetization**: 0.00 μB per atom
**SG**: Amm2, No. 38
**Final energy**: -3.344 eV/atom

a = 4.5050 Å, b = 5.1566 Å, c = 6.5149 Å
α = 113.31°, β = 90.00°, γ = 90.00°
Element x y z (fractional)
Pb1 0.0000 0.8054 0.6109
K1 0.0000 0.1061 0.2123
K2 0.5000 0.4044 0.8089
Pt1 0.5000 0.6926 0.3853



Record 11
TmMn6Ge6: optimized geometry, GGA-PBEsol.

**Energy of formation**: -4.46 eV/f.u.
**Spin magnetization**: 0.86 μB per atom
**SG**: P6/mmm, No. 191
**Final energy**: -7.505 eV/atom

a = 5.0738 Å, b = 5.0738 Å, c = 8.0082 Å
α = 90.00°, β = 90.00°, γ = 120.00°
Last column: magnetic moment on the atom in μB.
Element x y z (fractional)
Tm1 0.0000 0.0000 0.0000  -0.27
Mn1 0.5000 0.0000 0.2500  1.97
Mn2 0.0000 0.5000 0.7500  1.97
Mn3 0.5000 0.5000 0.7500  1.97
Mn4 0.5000 0.0000 0.7500  1.97
Mn5 0.0000 0.5000 0.2500  1.97
Mn6 0.5000 0.5000 0.2500  1.97
Ge1 0.0000 0.0000 0.3435  -0.09
Ge2 0.3333 0.6667 0.5000  -0.08
Ge3 0.6667 0.3333 0.5000  -0.08
Ge4 0.3333 0.6667 0.0000  -0.09
Ge5 0.6667 0.3333 0.0000  -0.09
Ge6 0.0000 0.0000 0.6565  -0.09



Record 12
Co6SbW: optimized geometry, GGA-PBEsol.

**Raw formation energy**: -37 kJ/mol of formula units
**Spin magnetization**: 0.00 μB per atom
**SG**: Cmmm, No. 65
**Final energy**: -8.146 eV/atom

a = 6.2190 Å, b = 6.2190 Å, c = 10.1694 Å
α = 90.00°, β = 90.00°, γ = 109.48°
Element x y z (fractional)
Co1 0.2545 0.7455 0.7564
Co2 0.8723 0.6180 0.8789
Co3 0.1277 0.3820 0.8789
Co4 0.7455 0.2545 0.7564
Co5 0.3820 0.1277 0.8789
Co6 0.6180 0.8723 0.8789
Co7 0.5000 0.5000 0.5000
Co8 0.1338 0.3788 0.6290
Co9 0.3788 0.1338 0.6290
Co10 0.2545 0.7455 0.2436
Co11 0.8662 0.6212 0.3710
Co12 0.1338 0.3788 0.3710
Co13 0.7455 0.2545 0.2436
Co14 0.3788 0.1338 0.3710
Co15 0.6212 0.8662 0.3710
Co16 0.5000 0.5000 0.0000
Co17 0.1277 0.3820 0.1211
Co18 0.3820 0.1277 0.1211
Co19 0.0000 0.0000 0.5000
Co20 0.6212 0.8662 0.6290
Co21 0.8662 0.6212 0.6290
Co22 0.0000 0.0000 0.0000
Co23 0.6180 0.8723 0.1211
Co24 0.8723 0.6180 0.1211
Sb1 0.2495 0.7505 0.5000
Sb2 0.7505 0.2495 0.5000
Sb3 0.0000 0.0000 0.7517
Sb4 0.0000 0.0000 0.2483
W1 0.2531 0.7469 0.0000
W2 0.7469 0.2531 0.0000
W3 0.5000 0.5000 0.7509
W4 0.5000 0.5000 0.2491



spin magnetization of number 10 (K2PtPb)?
0.00 μB per atom